## LiTbW2O8 (PBE with a Hubbard U)

Data for an optimized crystal structure of LiTbW2O8.

Values from the calculation:
Fermi-level density of states	0.000	states/eV per atom
E_tot	-0.2745	Ha/atom
M_tot	0.0	μB/cell

abc: 5.089 6.012 11.081
angles: 90.00 114.65 90.00
Space group P2/c (No. 13)
Unique sites:
Li 0.000 0.243 0.250 [2 per cell]
Tb 0.500 0.168 0.750 [2 per cell]
W 0.264 0.330 0.012 [4 per cell]
O 0.157 0.390 0.597 [4 per cell]
O 0.233 0.141 0.135 [4 per cell]
O 0.279 0.134 0.889 [4 per cell]
O 0.340 0.411 0.391 [4 per cell]